Compound: FeCo2Cu
Source: the Alexandria database
Functional: GGA-PBEsol
Structure: relaxed

Output
V, Å³ per atom: 10.79
Spin magnetization, μB/atom: 1.43
Space group: No. 25
D(E_F), states/eV/f.u.: 2.9
Calculated formation energy, eV/f.u.: 0.37
Uncorrected energy, eV/atom: -7.102

Lattice parameters (Å, degrees): 2.4675 3.5293 4.9543 90.00 90.00 90.00
Atoms (fractional coordinates):
Fe (0.0000, 0.0000, 0.0000)
Co (0.0000, 0.0000, 0.4844)
Co (0.5000, 0.5000, 0.2512)
Cu (0.5000, 0.5000, 0.7427)